This record from Alexandria describes a crystal of Na3AuO3 relaxed with PBEsol. The functional is SCAN.

It has space group P4_2/mnm (No. 136), with a = 9.3906 Å, b = 9.3906 Å, c = 4.5260 Å, α = 90.00°, β = 90.00° and γ = 90.00°. The inequivalent atoms are Na at (0.1221, 0.3752, 0.0000), Na at (0.1450, 0.1450, 0.5000), Au at (0.1162, 0.8838, 0.0000), O at (0.1020, 0.1020, 0.0000) and O at (0.1145, 0.6723, 0.0000).

For the density, the calculation gives 5.22 Mg/m³. The calculation puts the formation energy (no corrections) at -8.765 eV/f.u. For the total energy, the calculation gives -109.3 eV/f.u.